Material: KNdAs
Method: DFT, PBE
State: optimized geometry

a = 7.2854 Å, b = 7.2854 Å, c = 7.2854 Å
α = 90.00°, β = 90.00°, γ = 90.00°
Closest atoms and distances in Å follow each position.
Space group F-43m (No. 216)
Inequivalent atoms, fractional coordinates:
K (0.0000, 0.0000, 0.0000) (multiplicity 4)  4 As 3.15
Nd (0.0000, 0.0000, 0.5000) (multiplicity 4)  4 As 3.15
As (0.2500, 0.2500, 0.2500) (multiplicity 4)  4 Nd 3.15, 4 K 3.15

Calculated values
**Calculated volume**: 96.7 Å³/f.u.
**Total energy**: -3.98 eV per atom

Material: KRbNd2As2
Method: DFT, PBE
State: optimized geometry

a = 4.5009 Å, b = 4.5009 Å, c = 15.2797 Å
α = 90.00°, β = 90.00°, γ = 120.00°
Closest atoms and distances in Å follow each position.
Space group P3m1 (No. 156)
Inequivalent atoms, fractional coordinates:
K (0.0000, 0.0000, 0.0000) (multiplicity 1)  3 As 3.44
Rb (0.3333, 0.6667, 0.5027) (multiplicity 1)  3 As 3.57
Nd (0.6667, 0.3333, 0.2633) (multiplicity 1)  3 As 2.86
Nd (0.6667, 0.3333, 0.7737) (multiplicity 1)  3 As 2.86
As (0.0000, 0.0000, 0.3421) (multiplicity 1)  3 Nd 2.86
As (0.3333, 0.6667, 0.8526) (multiplicity 1)  3 Nd 2.86

Calculated values
**Calculated volume**: 268.1 Å³/f.u.
**Total energy**: -4.03 eV per atom

> Which formula does entry 1 have?

KNdAs